Entry 1:
9
Lattice="-2.363 5.124 -1.334 -3.984 0.351 -4.198 -4.747 -1.038 4.420" Properties=species:S:1:pos:R:3 comment="CsCeTeO6 | Alexandria via LeMat-Bulk | PBE | optimized geometry" crystal_system=trigonal pbc="T T T"
Te -4.489 1.306 0.366
O -4.798 1.752 -1.512
O -3.128 2.702 0.505
O -3.133 -0.009 -0.138
O -5.628 -0.282 0.421
Ce -6.605 3.131 -1.478
O -4.207 1.207 2.298
O -6.042 2.465 0.622
Cs -11.094 4.437 -1.111

---

Entry 2:
15
Lattice="6.103 0.000 0.000 -3.051 5.285 0.000 0.000 0.000 7.440" Properties=species:S:1:pos:R:3 comment="Cs3CeTe2O9 | Alexandria via LeMat-Bulk | PBE | optimized geometry" crystal_system=trigonal pbc="T T T"
O -1.526 2.643 0.000
Ce 0.000 0.000 3.720
Cs 0.000 0.000 0.000
O 1.410 4.337 2.385
O -1.410 4.337 2.385
Cs 0.000 3.523 4.992
O 1.642 0.948 5.055
O 4.461 0.948 5.055
Te 3.051 1.762 6.203
Cs 3.051 1.762 2.448
O 3.051 0.000 0.000
O 1.526 2.643 0.000
Te 0.000 3.523 1.238
O 0.000 1.896 2.385
O 3.051 3.390 5.055

---

Entry 3:
11
Lattice="6.323 0.000 0.000 3.161 5.476 0.000 3.161 1.825 6.391" Properties=species:S:1:pos:R:3 comment="Cs2CeTi2O6 | Alexandria via LeMat-Bulk | PBE | optimized geometry" crystal_system=trigonal pbc="T T T"
O 7.868 4.543 1.352
Ti 6.323 3.650 4.705
O 6.323 1.866 1.352
Cs 9.484 5.476 4.142
Ti 6.323 3.650 1.685
Ce 0.000 0.000 0.000
O 7.868 2.758 5.039
O 4.777 4.543 1.352
Cs 3.161 1.825 2.249
O 4.777 2.758 5.039
O 6.323 5.435 5.039

---

Entry 4:
8
Lattice="-4.944 2.700 3.517 0.575 -6.602 -0.423 6.253 0.371 2.205" Properties=species:S:1:pos:R:3 comment="Cs2CeTlO4 | Alexandria via LeMat-Bulk | PBE | optimized geometry" crystal_system=tetragonal pbc="T T T"
Tl 3.414 -3.116 0.891
O 3.520 -0.883 1.741
Cs -0.478 -3.509 1.992
O -3.435 -1.007 3.088
Cs 0.000 0.000 0.000
O 3.327 -4.533 2.815
Ce 2.361 -0.023 3.307
O 0.355 -0.640 2.953

---

Entry 5:
14
Lattice="-5.062 3.818 -3.106 4.168 -4.524 -4.330 -4.920 -2.961 4.379" Properties=species:S:1:pos:R:3 comment="CsCeTlO4 | Alexandria via LeMat-Bulk | PBE | optimized geometry" crystal_system=orthorhombic pbc="T T T"
Cs -3.915 -3.337 2.278
O -0.737 -2.493 -1.863
O -2.660 -3.650 -0.152
O -2.825 0.364 0.050
Ce -4.991 0.429 0.637
O -3.154 -0.017 -2.905
Tl -0.376 -3.743 0.024
O -5.077 -1.174 -1.193
Ce -2.531 1.909 -1.553
Tl -2.907 -1.834 -1.528
Cs -1.899 -0.331 -5.335
O -1.082 -5.470 -1.936
O -4.732 1.802 -1.121
O -2.989 -4.031 -3.107

---

Entry 6:
11
Lattice="-0.012 -5.257 -3.964 2.111 -0.563 6.208 -7.248 0.325 -0.408" Properties=species:S:1:pos:R:3 comment="Cs2CeTl2O6 | Alexandria via LeMat-Bulk | PBE | optimized geometry" crystal_system=monoclinic pbc="T T T"
O -5.281 -1.318 -1.099
Tl -3.300 -5.041 1.227
Tl -1.850 -0.455 0.609
Cs -5.065 -1.631 2.179
Ce -3.630 -2.466 -2.186
Cs -0.085 -3.865 -0.343
O -5.287 -3.823 -2.988
O -1.596 -1.694 2.252
O -3.554 -3.801 -0.416
O 0.131 -4.178 2.935
O 0.137 -1.673 4.824

---

Entry 7:
12
Lattice="-0.644 -3.474 -2.904 3.908 1.054 -2.129 3.295 -4.784 8.594" Properties=species:S:1:pos:R:3 comment="CsCe2Tm2O7 | Alexandria via LeMat-Bulk | PBE | optimized geometry" crystal_system=tetragonal pbc="T T T"
Ce 2.736 -2.552 -1.155
O 2.573 -3.129 3.173
Cs 3.908 1.054 -2.128
Ce 3.823 -4.651 4.717
Tm 4.418 -2.470 1.975
O 3.314 -1.127 0.613
O 4.927 -5.994 6.078
O 5.521 -3.812 3.336
O 3.987 -4.074 0.388
O 1.038 -3.391 0.226
O 3.245 -6.076 2.948
Tm 2.142 -4.734 1.587

---

Entry 8:
8
Lattice="3.601 0.000 0.000 0.000 6.222 0.104 0.000 -2.173 6.904" Properties=species:S:1:pos:R:3 comment="Cs2CeTmO4 | Alexandria via LeMat-Bulk | PBE | optimized geometry" crystal_system=monoclinic pbc="T T T"
O 1.800 3.080 5.890
Cs 0.000 2.025 3.504
O 1.800 0.970 1.118
O 0.000 -0.144 5.829
Ce 1.800 3.111 0.052
O 0.000 4.194 1.178
Tm 0.000 0.000 0.000
Cs 1.800 -1.086 3.452

---

Across the entries above, E_form (uncorrected) takes the values -1.745; -1.597; -2.630; -1.804; -1.875; -1.519; -3.159; -2.581 eV/atom, respectively.
Across the entries above, volume takes the values 191.2; 240.0; 221.3; 206.6; 284.3; 245.5; 206.2; 155.5 Å³/cell, respectively.